The following is a GGA-PBE calculation of BeReSi after structural relaxation, from Alexandria via LeMat-Bulk.

- Crystal system: orthorhombic
- D(E_F): 3.51 states/eV/f.u.
- Space group: Imm2 (44)
- ΔE to the lowest computed polymorph: 0 meV/atom
- Total DFT energy (no corrections): -7.4045 eV/atom
- Raw formation energy: -0.2054 eV/atom

a b c (Å): 4.455 4.455 4.455
angles (deg): 140.19 140.36 57.44
Atoms (fractional coordinates):
Re 0.337 0.337 0.000
Si 0.663 0.663 0.000
Be 0.000 0.000 0.000